[1]
DFT (PBE-GGA) results for a relaxed structure of GaP2HCl.

Values from the calculation:
space group: P4/mmm, No. 123
calculated volume: 93 Å³ per cell
VASP energy: -3.383 eV/atom

a b c (Å): 3.683 3.683 6.840
angles (deg): 90.00 90.00 90.00
Atoms (fractional coordinates):
Ga  0.500  0.500  0.500
Cl  0.000  0.000  0.500
H  0.000  0.000  0.000
P  0.000  0.500  0.000
P  0.500  0.000  0.000


[2]
DFT (PBE-GGA) results for a relaxed structure of Pm6TlIn2.

Values from the calculation:
space group: P-62m, No. 189
calculated volume: 285 Å³ per cell
calculated formation energy: -0.2771 eV/atom

a b c (Å): 4.511 8.538 8.538
angles (deg): 120.00 90.00 90.00
Atoms (fractional coordinates):
Tl  0.500  0.000  0.000
Pm  0.500  0.401  0.401
Pm  0.500  0.000  0.599
Pm  0.000  0.000  0.271
Pm  0.000  0.729  0.729
Pm  0.500  0.599  0.000
Pm  0.000  0.271  0.000
In  0.000  0.667  0.333
In  0.000  0.333  0.667


[3]
DFT (PBE-GGA) results for a relaxed structure of TbCe3Y2P6.

Values from the calculation:
space group: C2/m, No. 12
calculated volume: 282 Å³ per cell
calculated formation energy: -1.5652 eV/atom

a b c (Å): 7.025 7.025 7.008
angles (deg): 99.62 99.62 120.01
Last column: magnetic moment on the atom in μB.
Atoms (fractional coordinates):
Tb  0.000  0.000  0.000  0.01
P  0.584  0.917  0.752  -0.01
P  0.416  0.083  0.248  -0.01
P  0.083  0.416  0.248  -0.01
P  0.251  0.251  0.752  -0.01
P  0.749  0.749  0.248  -0.01
P  0.917  0.584  0.752  -0.01
Ce  0.500  0.500  0.500  0.46
Ce  0.167  0.833  0.500  0.46
Ce  0.833  0.167  0.500  0.46
Y  0.333  0.667  0.000  0.01
Y  0.667  0.333  0.000  0.01


[4]
DFT (PBE-GGA) results for a relaxed structure of Ag6SBr2Cl.

Values from the calculation:
formation energy without anion corrections: -0.1235 eV/atom
space group: P2_1/c, No. 14
calculated volume: 528 Å³ per cell

a b c (Å): 6.307 6.881 12.168
angles (deg): 90.00 90.01 90.00
Atoms (fractional coordinates):
Cl  0.000  0.500  0.500
Cl  0.500  0.000  0.000
S  0.000  0.500  0.000
S  0.500  0.000  0.500
Ag  0.643  0.345  0.000
Ag  0.143  0.155  0.500
Ag  0.252  0.802  0.373
Ag  0.248  0.303  0.873
Ag  0.752  0.698  0.873
Ag  0.252  0.803  0.627
Ag  0.857  0.845  0.500
Ag  0.752  0.697  0.127
Ag  0.748  0.198  0.627
Ag  0.248  0.302  0.127
Ag  0.357  0.655  0.000
Ag  0.748  0.197  0.373
Br  0.500  0.499  0.284
Br  0.500  0.501  0.716
Br  0.000  0.001  0.784
Br  0.000  0.999  0.216